Entry 1:
A plane-wave DFT calculation with PBE was carried out for GaAgIr3 after structural relaxation.

- distance to the lowest polymorph of the same formula (eV per atom) = 0.933
- total energy (eV per atom) = -4.24
- M_tot (μB per formula unit) = 0.01
- energy of formation from the pure elements (meV/atom) = 2253.9

a = 4.806 Å, b = 4.806 Å, c = 4.806 Å
α = 90.00°, β = 90.00°, γ = 90.00°
Space group Pm-3m (No. 221)
Unique sites:
Ga (0.000, 0.000, 0.000) (multiplicity 1)
Ag (0.500, 0.500, 0.500) (multiplicity 1)
Ir (0.000, 0.500, 0.500) (multiplicity 3)



Entry 2:
A plane-wave DFT calculation with PBE was carried out for Nd4Cu2H after structural relaxation.

- total energy (eV per atom) = -4.49
- M_tot (μB per formula unit) = 0.00

a = 4.822 Å, b = 4.822 Å, c = 14.595 Å
α = 90.00°, β = 90.00°, γ = 90.00°
Space group I4/mmm (No. 139)
Unique sites:
Nd (0.000, 0.000, 0.192) (multiplicity 4)
Nd (0.000, 0.500, 0.000) (multiplicity 4)
Cu (0.000, 0.000, 0.380) (multiplicity 4)
H (0.000, 0.000, 0.000) (multiplicity 2)



Entry 3:
A plane-wave DFT calculation with PBE was carried out for Tc2RuCl after structural relaxation.

- distance to the lowest polymorph of the same formula (eV per atom) = 0.188
- total energy (eV per atom) = -7.49
- M_tot (μB per formula unit) = 0.00

a = 2.810 Å, b = 2.810 Å, c = 7.384 Å
α = 90.00°, β = 90.00°, γ = 90.00°
Space group P4/mmm (No. 123)
Unique sites:
Tc (0.000, 0.000, 0.247) (multiplicity 2)
Ru (0.500, 0.500, 0.000) (multiplicity 1)
Cl (0.500, 0.500, 0.500) (multiplicity 1)



Entry 4:
A plane-wave DFT calculation with PBE was carried out for MnAgRh2 after structural relaxation.

- distance to the lowest polymorph of the same formula (eV per atom) = 0.142
- total energy (eV per atom) = -6.49
- M_tot (μB per formula unit) = 3.14
- energy of formation from the pure elements (meV/atom) = 185.9

a = 6.218 Å, b = 6.218 Å, c = 6.218 Å
α = 90.00°, β = 90.00°, γ = 90.00°
Space group Fm-3m (No. 225)
Unique sites:
Mn (0.000, 0.000, 0.000) (multiplicity 4)
Ag (0.000, 0.000, 0.500) (multiplicity 4)
Rh (0.250, 0.250, 0.250) (multiplicity 8)



Entry 5:
A plane-wave DFT calculation with PBE was carried out for AgIrSe after structural relaxation.

- distance to the lowest polymorph of the same formula (eV per atom) = 0.195
- total energy (eV per atom) = -4.76
- M_tot (μB per formula unit) = 0.00

a = 3.204 Å, b = 3.515 Å, c = 9.641 Å
α = 90.00°, β = 90.00°, γ = 90.00°
Space group Imm2 (No. 44)
Unique sites:
Ag (0.000, 0.000, 0.000) (multiplicity 2)
Ir (0.000, 0.000, 0.303) (multiplicity 2)
Se (0.000, 0.000, 0.712) (multiplicity 2)



Entry 6:
A plane-wave DFT calculation with PBE was carried out for MnOsW2 after structural relaxation.

- distance to the lowest polymorph of the same formula (eV per atom) = 0.018
- total energy (eV per atom) = -11.45
- M_tot (μB per formula unit) = 2.70
- energy of formation from the pure elements (meV/atom) = 125.1

a = 3.139 Å, b = 3.139 Å, c = 6.045 Å
α = 90.00°, β = 90.00°, γ = 90.00°
Space group P4mm (No. 99)
Unique sites:
Mn (0.000, 0.000, 0.000) (multiplicity 1)
Os (0.500, 0.500, 0.253) (multiplicity 1)
W (0.000, 0.000, 0.503) (multiplicity 1)
W (0.500, 0.500, 0.775) (multiplicity 1)